1.
Below is an optimized crystal structure of NaPdRh3, with properties calculated at the PBE level.

Calculated values
- ΔE to the lowest computed polymorph: 0.000 kcal/mol of atoms
- Raw total energy: -4.474 eV/atom
- ΔE_f: 1.24 eV per atom

Cell and atoms, written as POSCAR:
```
NaPdRh3
1.0
4.8310 0.0000 0.0000
0.0000 4.8310 0.0000
0.0000 0.0000 4.8310
Na Pd Rh
1 1 3
direct
0.0000 0.0000 0.0000
0.5000 0.5000 0.5000
0.0000 0.5000 0.5000
0.5000 0.0000 0.5000
0.5000 0.5000 0.0000
```

2.
Below is an optimized crystal structure of Na4PdRh3S8, with properties calculated at the PBE level.

Calculated values
- Formation energy without anion corrections: -0.686 eV/atom
- Raw total energy: -4.783 eV/atom

Cell and atoms, written as POSCAR:
```
Na4PdRh3S8
1.0
3.6580 2.1119 6.3051
-3.6580 2.1119 6.3051
0.0000 -4.2239 6.3051
Na Pd Rh S
4 1 3 8
direct
0.0000 0.0000 0.0000
0.0000 0.5000 0.5000
0.5000 0.0000 0.5000
0.5000 0.5000 0.0000
0.5000 0.5000 0.5000
0.0000 0.0000 0.5000
0.0000 0.5000 0.0000
0.5000 0.0000 0.0000
0.2217 0.7347 0.7347
0.2292 0.2292 0.2292
0.2653 0.2653 0.7783
0.2653 0.7783 0.2653
0.7347 0.2217 0.7347
0.7347 0.7347 0.2217
0.7708 0.7708 0.7708
0.7783 0.2653 0.2653
```

3.
Below is an optimized crystal structure of Na3PdRh3S8, with properties calculated at the PBE level.

Calculated values
- Formation energy without anion corrections: -0.644 eV/atom
- Raw total energy: -4.926 eV/atom

Cell and atoms, written as POSCAR:
```
Na3PdRh3S8
1.0
3.6149 2.0870 6.3780
-3.6149 2.0870 6.3780
0.0000 -4.1741 6.3780
Na Pd Rh S
3 1 3 8
direct
0.0000 0.5000 0.5000
0.5000 0.0000 0.5000
0.5000 0.5000 0.0000
0.5000 0.5000 0.5000
0.0000 0.0000 0.5000
0.0000 0.5000 0.0000
0.5000 0.0000 0.0000
0.2265 0.7309 0.7309
0.2294 0.2294 0.2294
0.2691 0.2691 0.7735
0.2691 0.7735 0.2691
0.7309 0.2265 0.7309
0.7309 0.7309 0.2265
0.7706 0.7706 0.7706
0.7735 0.2691 0.2691
```

4.
Below is an optimized crystal structure of Na3PdRh2S6, with properties calculated at the PBE level.

Calculated values
- Formation energy without anion corrections: -0.655 eV/atom
- Raw total energy: -4.706 eV/atom

Cell and atoms, written as POSCAR:
```
Na3PdRh2S6
1.0
3.1731 -5.5168 0.0000
3.1731 5.5168 0.0000
-2.1190 0.0000 6.2846
Na Pd Rh S
3 1 2 6
direct
0.0000 0.0000 0.0000
0.3363 0.6637 0.0000
0.6637 0.3363 0.0000
0.5000 0.5000 0.5000
0.1666 0.8334 0.5000
0.8334 0.1666 0.5000
0.0942 0.4368 0.3077
0.2241 0.2241 0.6890
0.4368 0.0942 0.3077
0.5632 0.9058 0.6923
0.7759 0.7759 0.3110
0.9058 0.5632 0.6923
```

- The highest raw total energy belongs to which entry?
  NaPdRh3